# PuInSnAu | Alexandria | GGA-PBE | optimized geometry
# formation enthalpy at 0 K	-0.164	eV per atom
# energy above the most stable polymorph in this dataset	0.138	eV per atom
data_PuInSnAu
_space_group_name_H-M_alt 'F -4 3 m'
_space_group_IT_number 216
_space_group_name_Hall 'F -4 2 3'
_cell_length_a 7.251
_cell_length_b 7.251
_cell_length_c 7.251
_cell_angle_alpha 90.00
_cell_angle_beta 90.00
_cell_angle_gamma 90.00
loop_
_atom_site_label
_atom_site_type_symbol
_atom_site_fract_x
_atom_site_fract_y
_atom_site_fract_z
Pu1 Pu 0.000 0.000 0.000
In1 In 0.250 0.250 0.750
Sn1 Sn 0.250 0.250 0.250
Au1 Au 0.000 0.000 0.500

=====

# Sr2CdGa4Au3 | Alexandria | GGA-PBE | optimized geometry
# formation enthalpy at 0 K	-0.536	eV per atom
data_Sr2CdGa4Au3
_space_group_name_H-M_alt 'P -4 m 2'
_space_group_IT_number 115
_space_group_name_Hall 'P -4 -2'
_cell_length_a 4.520
_cell_length_b 4.520
_cell_length_c 10.985
_cell_angle_alpha 90.00
_cell_angle_beta 90.00
_cell_angle_gamma 90.00
loop_
_atom_site_label
_atom_site_type_symbol
_atom_site_fract_x
_atom_site_fract_y
_atom_site_fract_z
Sr1 Sr 0.000 0.500 0.245
Cd1 Cd 0.000 0.000 0.500
Ga1 Ga 0.000 0.000 0.000
Ga2 Ga 0.000 0.500 0.638
Ga3 Ga 0.500 0.500 0.000
Au1 Au 0.000 0.500 0.873
Au2 Au 0.500 0.500 0.500

=====

# Ta2TlAg | Alexandria | GGA-PBE | optimized geometry
# formation enthalpy at 0 K	0.556	eV per atom
data_Ta2TlAg
_space_group_name_H-M_alt 'I -4 m 2'
_space_group_IT_number 119
_space_group_name_Hall 'I -4 -2'
_cell_length_a 4.154
_cell_length_b 4.154
_cell_length_c 8.879
_cell_angle_alpha 90.00
_cell_angle_beta 90.00
_cell_angle_gamma 90.00
loop_
_atom_site_label
_atom_site_type_symbol
_atom_site_fract_x
_atom_site_fract_y
_atom_site_fract_z
Ta1 Ta 0.000 0.000 0.000
Ta2 Ta 0.000 0.500 0.250
Tl1 Tl 0.000 0.500 0.750
Ag1 Ag 0.000 0.000 0.500

=====

# LaTl2Cl | Alexandria | GGA-PBE | optimized geometry
# formation energy (no corrections)	-705.6	meV/atom
# energy above the most stable polymorph in this dataset	0.093	eV per atom
data_LaTl2Cl
_space_group_name_H-M_alt 'C 1 m 1'
_space_group_IT_number 8
_space_group_name_Hall 'C -2y'
_cell_length_a 9.587
_cell_length_b 4.020
_cell_length_c 6.756
_cell_angle_alpha 90.00
_cell_angle_beta 107.72
_cell_angle_gamma 90.00
loop_
_atom_site_label
_atom_site_type_symbol
_atom_site_fract_x
_atom_site_fract_y
_atom_site_fract_z
La1 La 0.000 0.000 0.000
Tl1 Tl 0.237 0.500 0.347
Tl2 Tl 0.490 0.000 0.550
Cl1 Cl 0.273 0.000 0.906